# Er2TmZn3CuAg2 (PBE, optimized geometry)
data_Er2TmZn3CuAg2
_cell_length_a 3.960
_cell_length_b 12.505
_cell_length_c 7.225
_cell_angle_alpha 90.00
_cell_angle_beta 90.00
_cell_angle_gamma 90.00
_space_group_name_H-M_alt 'A m m 2'
_space_group_IT_number 38
loop_
_space_group_symop_operation_xyz
'x,y,z'
'-x,-y,z'
'-x,y,z'
'x,-y,z'
'x,y+1/2,z+1/2'
'-x,-y+1/2,z+1/2'
'-x,y+1/2,z+1/2'
'x,-y+1/2,z+1/2'
loop_
_atom_site_label
_atom_site_type_symbol
_atom_site_fract_x
_atom_site_fract_y
_atom_site_fract_z
Er1 Er 0.000 0.201 0.000
Tm1 Tm 0.000 0.000 0.397
Zn1 Zn 0.500 0.000 0.033
Zn2 Zn 0.500 0.117 0.681
Cu1 Cu 0.000 0.000 0.798
Ag1 Ag 0.500 0.166 0.299
# Crystal system   orthorhombic
# Calculated volume   19.9 Å³/atom
# Formation energy from the elements   -328 meV/atom